An optimized crystal structure of NdScNO. Source: the Open Quantum Materials Database, functional PBE.

Computed properties:
For the uncorrected energy, the calculation gives -8.12 eV per atom.

Geometry as POSCAR:
```
NdScNO
1.0
4.617 0.000 0.000
0.000 4.617 0.000
0.000 0.000 5.638
N Nd O Sc
2 2 2 2
Direct
0.750 0.750 0.378
0.250 0.250 0.622
0.750 0.250 0.500
0.250 0.750 0.500
0.750 0.250 0.000
0.250 0.750 0.000
0.750 0.750 0.033
0.250 0.250 0.967
```


An optimized crystal structure of GdCd20Ni2. Source: the Open Quantum Materials Database, functional PBE.

Computed properties:
The formation energy from the elements is -0.099 eV per atom. For the uncorrected energy, the calculation gives -1.56 eV per atom.

Geometry as POSCAR:
```
GdCd20Ni2
1.0
0.000 7.782 7.782
7.782 0.000 7.782
7.782 7.782 0.000
Cd Gd Ni
40 2 4
Direct
0.387 0.113 0.113
0.113 0.387 0.113
0.387 0.387 0.113
0.625 0.625 0.125
0.863 0.137 0.137
0.137 0.863 0.137
0.863 0.863 0.137
0.569 0.301 0.301
0.301 0.569 0.301
0.829 0.569 0.301
0.301 0.829 0.301
0.569 0.829 0.301
0.829 0.301 0.301
0.113 0.113 0.387
0.387 0.113 0.387
0.113 0.387 0.387
0.949 0.681 0.421
0.681 0.949 0.421
0.949 0.949 0.421
0.301 0.301 0.569
0.829 0.301 0.569
0.301 0.829 0.569
0.625 0.125 0.625
0.125 0.625 0.625
0.625 0.625 0.625
0.949 0.949 0.681
0.949 0.421 0.681
0.421 0.949 0.681
0.301 0.301 0.829
0.569 0.301 0.829
0.301 0.569 0.829
0.137 0.137 0.863
0.863 0.137 0.863
0.137 0.863 0.863
0.681 0.421 0.949
0.421 0.681 0.949
0.421 0.949 0.949
0.949 0.421 0.949
0.949 0.681 0.949
0.681 0.949 0.949
0.500 0.500 0.500
0.750 0.750 0.750
0.125 0.125 0.125
0.625 0.125 0.125
0.125 0.625 0.125
0.125 0.125 0.625
```


An optimized crystal structure of InW. Source: the Open Quantum Materials Database, functional PBE.

Computed properties:
For the uncorrected energy, the calculation gives -7.21 eV per atom.

Geometry as POSCAR:
```
InW
1.0
-0.342 0.148 -2.964
0.821 -2.570 1.282
-4.584 -1.231 0.467
In W
1 1
Direct
0.667 0.333 0.750
0.333 0.667 0.250
```


An optimized crystal structure of Tm4AlGe4Pd2. Source: the Open Quantum Materials Database, functional PBE.

Computed properties:
For the uncorrected energy, the calculation gives -5.46 eV per atom.

Geometry as POSCAR:
```
Tm4AlGe4Pd2
1.0
7.748 -2.106 0.000
7.748 2.106 0.000
-2.074 0.000 6.672
Al Ge Pd Tm
1 4 2 4
Direct
0.000 0.000 0.000
0.185 0.185 0.227
0.940 0.940 0.333
0.060 0.060 0.667
0.815 0.815 0.773
0.780 0.780 0.371
0.220 0.220 0.629
0.345 0.345 0.079
0.585 0.585 0.376
0.415 0.415 0.624
0.655 0.655 0.921
```


An optimized crystal structure of LiPtO4. Source: the Open Quantum Materials Database, functional PBE.

Computed properties:
For the uncorrected energy, the calculation gives -5.12 eV per atom.

Geometry as POSCAR:
```
LiPtO4
1.0
-0.462 -2.664 -1.477
4.425 -0.918 0.262
-0.628 -2.094 3.968
Li O Pt
1 4 1
Direct
0.038 0.962 0.499
0.043 0.658 0.195
0.542 0.172 0.290
0.542 0.752 0.709
0.044 0.265 0.804
0.545 0.462 0.999
```


An optimized crystal structure of CdCuSnAu. Source: the Open Quantum Materials Database, functional PBE.

Computed properties:
For the uncorrected energy, the calculation gives -2.92 eV per atom.

Geometry as POSCAR:
```
CdCuSnAu
1.0
-3.909 -2.775 0.022
-4.342 1.972 -0.486
-2.493 -0.660 -4.041
Au Cd Cu Sn
1 1 1 1
Direct
0.250 0.250 0.250
0.500 0.500 0.500
0.750 0.750 0.750
0.000 0.000 0.000
```


| no. | V (Å³/atom) |
| --- | --- |
| 1 | 15.03 |
| 2 | 20.49 |
| 3 | 18.43 |
| 4 | 19.80 |
| 5 | 10.53 |
| 6 | 19.47 |